Compound: NaScCuS3
Source: OQMD via LeMat-Bulk
Functional: GGA-PBE
Structure: relaxed

Properties
- calculated total energy (eV per atom) = -5.10
- SG = Pnma, No. 62

Cell: 9.876 3.666 12.934 Å, 90.00 90.00 90.00°
Positions (direct):
S1 0.542 0.250 0.624
S2 0.586 0.750 0.113
S3 0.958 0.750 0.124
S4 0.458 0.750 0.376
S5 0.266 0.250 0.172
S6 0.766 0.250 0.328
S7 0.042 0.250 0.876
S8 0.086 0.750 0.387
S9 0.234 0.750 0.672
S10 0.914 0.250 0.613
S11 0.734 0.750 0.828
S12 0.414 0.250 0.887
Cu1 0.267 0.750 0.279
Cu2 0.233 0.250 0.779
Cu3 0.767 0.750 0.221
Cu4 0.733 0.250 0.721
Sc1 0.982 0.750 0.743
Sc2 0.482 0.750 0.757
Sc3 0.518 0.250 0.243
Sc4 0.018 0.250 0.257
Na1 0.281 0.250 0.498
Na2 0.781 0.250 0.002
Na3 0.719 0.750 0.502
Na4 0.219 0.750 0.998

---

Compound: SrPrNi2Pb4
Source: OQMD via LeMat-Bulk
Functional: GGA-PBE
Structure: relaxed

Properties
- calculated total energy (eV per atom) = -4.32
- SG = Amm2, No. 38

Cell: 4.753 9.787 9.787 Å, 27.60 90.00 90.00°
Positions (direct):
Pb1 0.500 0.749 0.749
Pb2 0.000 0.253 0.253
Pb3 0.500 0.451 0.451
Pb4 0.000 0.548 0.548
Ni1 0.000 0.684 0.684
Ni2 0.500 0.319 0.319
Sr1 0.500 0.109 0.109
Pr1 0.000 0.887 0.887

---

Compound: RbTmSeO
Source: OQMD via LeMat-Bulk
Functional: GGA-PBE
Structure: relaxed

Properties
- calculated total energy (eV per atom) = -5.70
- SG = C2, No. 5

Cell: 5.751 5.756 12.175 Å, 90.00 104.34 90.00°
Positions (direct):
Se1 0.891 0.611 0.264
Se2 0.109 0.111 0.736
Se3 0.391 0.111 0.264
Se4 0.609 0.611 0.736
Tm1 0.044 0.865 0.083
Tm2 0.543 0.364 0.083
Tm3 0.457 0.864 0.917
Tm4 0.956 0.365 0.917
O1 0.250 0.115 0.000
O2 0.750 0.615 0.000
O3 0.250 0.614 0.000
O4 0.750 0.114 0.000
Rb1 0.455 0.610 0.390
Rb2 0.956 0.110 0.390
Rb3 0.044 0.610 0.610
Rb4 0.545 0.110 0.610